No. 1
Computed, not measured: crystalline UAgBi at its relaxed geometry at the PBE level of DFT.

a b c (Å): 3.182 5.205 5.205
angles (deg): 120.00 90.00 90.00
Site moments in Bohr magnetons follow the coordinates.
Fractional positions:
Bi1 0.500 0.667 0.333  -0.04
U1 0.000 0.000 0.000  2.94
Ag1 0.499 0.333 0.667  0.03

ΔH_f (0 K)   0.241 eV per atom
D(E_F)   1.89 states/eV per atom
Raw total energy   -5.765 eV/atom
Spin magnetization   3.331 μB/f.u.
SG   P-6m2, No. 187

No. 2
Computed, not measured: crystalline UAgBi at its relaxed geometry at the PBE level of DFT.

a b c (Å): 3.263 3.263 7.558
angles (deg): 102.47 102.47 90.00
Site moments in Bohr magnetons follow the coordinates.
Fractional positions:
U1 0.992 0.992 0.984  2.98
Bi1 0.670 0.670 0.340  -0.05
Ag1 0.338 0.338 0.676  0.02

ΔH_f (0 K)   0.281 eV per atom
D(E_F)   1.48 states/eV per atom
Raw total energy   -5.726 eV/atom
Spin magnetization   3.416 μB/f.u.
SG   I4mm, No. 107

No. 3
Computed, not measured: crystalline UAg4Bi at its relaxed geometry at the PBE level of DFT.

a b c (Å): 5.720 5.720 5.720
angles (deg): 60.00 60.00 60.00
Site moments in Bohr magnetons follow the coordinates.
Fractional positions:
Ag1 0.624 0.624 0.624  0.03
Ag2 0.624 0.127 0.624  0.03
Ag3 0.624 0.624 0.127  0.03
Ag4 0.127 0.624 0.624  0.03
U1 0.250 0.250 0.250  2.92
Bi1 0.000 0.000 0.000  -0.01

ΔH_f (0 K)   0.195 eV per atom
D(E_F)   1.94 states/eV per atom
Raw total energy   -4.234 eV/atom
Spin magnetization   3.450 μB/f.u.
SG   F-43m, No. 216

No. 4
Computed, not measured: crystalline VAg2Bi at its relaxed geometry at the PBE level of DFT.

a b c (Å): 7.963 7.963 6.277
angles (deg): 50.63 50.63 90.00
Site moments in Bohr magnetons follow the coordinates.
Fractional positions:
Ag1 0.375 0.393 0.750  0.03
Ag2 0.875 0.857 0.750  0.03
Ag3 0.607 0.125 0.250  0.03
Ag4 0.143 0.625 0.250  0.03
Bi1 0.000 0.000 0.000  -0.09
Bi2 0.750 0.250 0.500  -0.09
V1 0.250 0.750 0.500  2.39
V2 0.500 0.500 0.000  2.39

ΔH_f (0 K)   0.524 eV per atom
D(E_F)   0.85 states/eV per atom
Raw total energy   -4.152 eV/atom
Spin magnetization   2.797 μB/f.u.
SG   I-42d, No. 122

No. 5
Computed, not measured: crystalline VAgBi3 at its relaxed geometry at the PBE level of DFT.

a b c (Å): 5.271 5.271 5.271
angles (deg): 90.00 90.00 90.00
Fractional positions:
Bi1 0.000 0.500 0.000
Bi2 0.500 0.000 0.000
Bi3 0.000 0.000 0.500
Ag1 0.500 0.500 0.500
V1 0.000 0.000 0.000

Polymorph energy (0 for the lowest one)   0.0 kJ per mole of atoms
ΔH_f (0 K)   0.479 eV per atom
D(E_F)   0.75 states/eV per atom
Raw total energy   -4.244 eV/atom
Spin magnetization   0.000 μB/f.u.
SG   Pm-3m, No. 221

No. 6
Computed, not measured: crystalline VAg3Bi at its relaxed geometry at the PBE level of DFT.

a b c (Å): 5.010 5.010 5.010
angles (deg): 90.00 90.00 90.00
Site moments in Bohr magnetons follow the coordinates.
Fractional positions:
Ag1 0.000 0.500 0.000  0.12
Ag2 0.500 0.000 0.000  0.12
Ag3 0.000 0.000 0.500  0.12
V1 0.000 0.000 0.000  2.65
Bi1 0.500 0.500 0.500  -0.12

ΔH_f (0 K)   0.993 eV per atom
D(E_F)   0.77 states/eV per atom
Raw total energy   -3.317 eV/atom
Spin magnetization   3.383 μB/f.u.
SG   Pm-3m, No. 221

No. 7
Computed, not measured: crystalline V3AgBi at its relaxed geometry at the PBE level of DFT.

a b c (Å): 4.929 4.929 4.929
angles (deg): 90.00 90.00 90.00
Site moments in Bohr magnetons follow the coordinates.
Fractional positions:
V1 0.500 0.000 0.000  2.45
V2 0.000 0.000 0.500  2.45
V3 0.000 0.500 0.000  2.45
Bi1 0.500 0.500 0.500  -0.25
Ag1 0.000 0.000 0.000  0.17

Polymorph energy (0 for the lowest one)   0.0 kJ per mole of atoms
ΔH_f (0 K)   1.380 eV per atom
D(E_F)   2.52 states/eV per atom
Raw total energy   -5.438 eV/atom
Spin magnetization   8.647 μB/f.u.
SG   Pm-3m, No. 221

No. 8
Computed, not measured: crystalline VAgBi at its relaxed geometry at the PBE level of DFT.

a b c (Å): 4.231 4.231 7.018
angles (deg): 90.00 90.00 90.00
Site moments in Bohr magnetons follow the coordinates.
Fractional positions:
Ag1 0.500 0.000 0.231  0.01
Ag2 0.000 0.500 0.769  0.01
V1 0.000 0.000 0.500  0.45
V2 0.500 0.500 0.500  0.45
Bi1 0.500 0.000 0.789  -0.01
Bi2 0.000 0.500 0.211  -0.01

ΔH_f (0 K)   0.239 eV per atom
D(E_F)   0.60 states/eV per atom
Raw total energy   -5.044 eV/atom
Spin magnetization   0.504 μB/f.u.
SG   P4/nmm, No. 129